(1)
Below is a relaxed structure of Nd2Dy2Sc, with properties calculated at the PBE-GGA level.

Unit cell a=4.867 b=7.720 c=8.465 alpha=90.00 beta=90.00 gamma=90.00
Space group Immm (No. 71)
Symmetry-distinct sites (fractional):
1 Nd 0.000 0.208 0.000 [4 per cell]
2 Dy 0.000 0.500 0.291 [4 per cell]
3 Sc 0.000 0.000 0.500 [2 per cell]

* relative energy among the computed polymorphs: 89.3 meV per atom

***

(2)
Below is a relaxed structure of LiOs2Au, with properties calculated at the PBE-GGA level.

Unit cell a=2.745 b=4.515 c=4.833 alpha=90.00 beta=90.00 gamma=90.00
Space group Pmmm (No. 47)
Symmetry-distinct sites (fractional):
1 Li 0.000 0.000 0.000 [1 per cell]
2 Os 0.000 0.500 0.500 [1 per cell]
3 Os 0.500 0.000 0.500 [1 per cell]
4 Au 0.500 0.500 0.000 [1 per cell]

* relative energy among the computed polymorphs: 205.6 meV per atom

***

(3)
Below is a relaxed structure of Tb6Pm5Dy2, with properties calculated at the PBE-GGA level.

Unit cell a=11.689 b=20.569 c=3.604 alpha=90.00 beta=90.00 gamma=90.00
Space group Pbam (No. 55)
Symmetry-distinct sites (fractional):
1 Tb 0.061 0.081 0.000 [4 per cell]
2 Tb 0.082 0.368 0.000 [4 per cell]
3 Tb 0.174 0.638 0.500 [4 per cell]
4 Pm 0.000 0.500 0.500 [2 per cell]
5 Pm 0.086 0.227 0.500 [4 per cell]
6 Pm 0.198 0.949 0.500 [4 per cell]
7 Dy 0.170 0.789 0.000 [4 per cell]

***

no.,calculated volume (Å³/cell),ΔH_f (0 K) (eV/f.u.)
1,318.1,1.1
2,59.9,1.4
3,866.5,1.2